The following is a GGA+U calculation of crystalline Li2MnCoO4 at its relaxed geometry, from the Alexandria database.

Geometry as CIF:
```
data_Li2MnCoO4
_chemical_formula_sum 'Li4 Mn2 Co2 O8'
_cell_length_a 2.970
_cell_length_b 6.636
_cell_length_c 7.805
_cell_angle_alpha 90.30
_cell_angle_beta 96.91
_cell_angle_gamma 102.76
_symmetry_space_group_name_H-M 'P 1'
_symmetry_Int_Tables_number 1
loop_
_symmetry_equiv_pos_as_xyz
'x,y,z'
loop_
_atom_site_label
_atom_site_fract_x
_atom_site_fract_y
_atom_site_fract_z
_atom_site_occupancy
O1 0.385 0.171 0.556 1
O2 0.132 0.581 0.695 1
O3 0.900 0.931 0.806 1
O4 0.372 0.676 0.054 1
O5 0.100 0.069 0.194 1
O6 0.615 0.829 0.444 1
O7 0.868 0.419 0.305 1
O8 0.628 0.324 0.946 1
Co1 0.247 0.373 0.122 1
Co2 0.753 0.627 0.878 1
Mn1 0.263 0.877 0.629 1
Mn2 0.737 0.123 0.371 1
Li1 0.987 0.748 0.245 1
Li2 0.500 0.000 0.000 1
Li3 0.500 0.500 0.500 1
Li4 0.013 0.252 0.755 1
```

Output
raw total energy = -6.091 eV/atom
space-group type = P-1, No. 2